[1]
Material: Cr3Rh5
Method: DFT, PBE
State: optimized geometry

Geometry as CIF:
```
data_Cr3Rh5
_chemical_formula_sum 'Cr6 Rh10'
_cell_length_a 7.243
_cell_length_b 7.243
_cell_length_c 5.092
_cell_angle_alpha 92.71
_cell_angle_beta 92.71
_cell_angle_gamma 123.96
_symmetry_space_group_name_H-M 'P 1'
_symmetry_Int_Tables_number 1
loop_
_symmetry_equiv_pos_as_xyz
'x,y,z'
loop_
_atom_site_label
_atom_site_type_symbol
_atom_site_fract_x
_atom_site_fract_y
_atom_site_fract_z
_atom_site_occupancy
Cr1 Cr 0.078 0.078 0.341 1
Cr2 Cr 0.125 0.528 0.835 1
Cr3 Cr 0.472 0.875 0.165 1
Cr4 Cr 0.528 0.125 0.835 1
Cr5 Cr 0.875 0.472 0.165 1
Cr6 Cr 0.922 0.922 0.659 1
Rh1 Rh 0.129 0.871 0.000 1
Rh2 Rh 0.193 0.807 0.500 1
Rh3 Rh 0.231 0.473 0.314 1
Rh4 Rh 0.308 0.308 0.809 1
Rh5 Rh 0.473 0.231 0.314 1
Rh6 Rh 0.527 0.769 0.686 1
Rh7 Rh 0.692 0.692 0.191 1
Rh8 Rh 0.769 0.527 0.686 1
Rh9 Rh 0.807 0.193 0.500 1
Rh10 Rh 0.871 0.129 0.000 1
```

space-group type = C2/m (12)
DFT formation energy = 52 meV per atom

***

[2]
Material: CoGe3Br
Method: DFT, PBE
State: optimized geometry

Geometry as CIF:
```
data_CoGe3Br
_chemical_formula_sum 'Co1 Ge3 Br1'
_cell_length_a 4.636
_cell_length_b 4.636
_cell_length_c 4.636
_cell_angle_alpha 90.00
_cell_angle_beta 90.00
_cell_angle_gamma 90.00
_symmetry_space_group_name_H-M 'P 1'
_symmetry_Int_Tables_number 1
loop_
_symmetry_equiv_pos_as_xyz
'x,y,z'
loop_
_atom_site_label
_atom_site_type_symbol
_atom_site_fract_x
_atom_site_fract_y
_atom_site_fract_z
_atom_site_occupancy
Co1 Co 0.000 0.000 0.000 1
Ge1 Ge 0.000 0.000 0.500 1
Ge2 Ge 0.000 0.500 0.000 1
Ge3 Ge 0.500 0.000 0.000 1
Br1 Br 0.500 0.500 0.500 1
```

space-group type = Pm-3m (221)
ΔE_f (raw) = 0.295 eV/f.u.
polymorph energy (0 for the lowest one) = 0.0 meV per atom